Record 1
DFT (PBE-GGA) results for Cs3K2H2F3 after structural relaxation.

Computed properties:
The space-group type is I4/mmm, No. 139. The density comes out at 3.16 g/cm3.

a b c (Å): 13.247 13.247 13.247
angles (deg): 159.61 159.61 28.99
Element x y z (fractional)
1 Cs 0.000 0.000 0.000
2 Cs 0.384 0.384 0.000
3 Cs 0.616 0.616 0.000
4 K 0.212 0.212 0.000
5 K 0.788 0.788 0.000
6 H 0.250 0.750 0.500
7 H 0.750 0.250 0.500
8 F 0.111 0.111 0.000
9 F 0.500 0.500 0.000
10 F 0.889 0.889 0.000

---

Record 2
DFT (PBE-GGA) results for YSe3 after structural relaxation.

Computed properties:
The space-group type is Pm-3n, No. 223. The density comes out at 6.20 g/cm3.

a b c (Å): 5.589 5.589 5.589
angles (deg): 90.00 90.00 90.00
Element x y z (fractional)
1 Y 0.000 0.000 0.000
2 Y 0.500 0.500 0.500
3 Se 0.000 0.250 0.500
4 Se 0.000 0.750 0.500
5 Se 0.250 0.500 0.000
6 Se 0.500 0.000 0.250
7 Se 0.500 0.000 0.750
8 Se 0.750 0.500 0.000

---

Record 3
DFT (PBE-GGA) results for Y6AlS3 after structural relaxation.

Computed properties:
The space-group type is P2_1/m, No. 11. The density comes out at 4.34 g/cm3.

a b c (Å): 11.714 3.910 12.112
angles (deg): 90.00 115.13 90.00
Element x y z (fractional)
1 Y 0.038 0.250 0.399
2 Y 0.107 0.750 0.944
3 Y 0.220 0.750 0.274
4 Y 0.262 0.250 0.775
5 Y 0.422 0.250 0.577
6 Y 0.439 0.250 0.127
7 Y 0.561 0.750 0.873
8 Y 0.578 0.750 0.423
9 Y 0.738 0.750 0.225
10 Y 0.780 0.250 0.726
11 Y 0.893 0.250 0.056
12 Y 0.962 0.750 0.601
13 Al 0.222 0.750 0.568
14 Al 0.778 0.250 0.432
15 S 0.032 0.250 0.774
16 S 0.351 0.750 0.948
17 S 0.401 0.250 0.342
18 S 0.599 0.750 0.658
19 S 0.649 0.250 0.052
20 S 0.968 0.750 0.226

---

| no. | raw total energy (eV/atom) | DOS(E_F) (states/eV/cell) |
| --- | --- | --- |
| 1 | -3.31 | 0.0 |
| 2 | -5.14 | 9.9 |
| 3 | -6.75 | 14.2 |